[1]
10
Lattice="3.677 -5.900 0.000 3.677 5.900 0.000 0.000 0.000 4.548" Properties=species:S:1:pos:R:3 comment="PBE TlBi2F7, optimized geometry" spacegroup=Cmmm raw_formation_energy_ev_per_fu=-23.43 magnetic_moment_mub_per_fu=0.0 pbc="T T T"
Tl 0.000 0.000 0.000
Bi 3.677 2.295 2.274
Bi 3.677 -2.295 2.274
F 1.378 1.696 2.274
F 3.677 2.525 0.000
F 1.378 -1.696 2.274
F 3.677 0.000 2.274
F 5.975 1.696 2.274
F 3.677 -2.525 0.000
F 5.975 -1.696 2.274

***

[2]
12
Lattice="3.853 0.000 0.000 0.000 8.256 0.000 0.000 0.000 6.719" Properties=species:S:1:pos:R:3 comment="PBE TlBiF4, optimized geometry" de_polymorph_mev_per_atom=28 spacegroup=Pmc2_1 raw_formation_energy_ev_per_fu=-13.31 magnetic_moment_mub_per_fu=0.0 pbc="T T T"
Tl 0.000 1.130 0.000
Tl 0.000 7.126 3.359
Bi 1.927 2.942 3.451
Bi 1.927 5.314 0.091
F 0.000 1.851 2.643
F 0.000 3.266 4.865
F 0.000 4.990 1.505
F 0.000 6.405 6.002
F 1.927 1.100 4.626
F 1.927 3.094 0.946
F 1.927 5.162 4.306
F 1.927 7.156 1.266

***

[3]
5
Lattice="4.669 0.000 0.000 0.000 4.669 0.000 0.000 0.000 4.669" Properties=species:S:1:pos:R:3 comment="PBE TlBiF3, optimized geometry" de_polymorph_mev_per_atom=697 spacegroup=Pm-3m raw_formation_energy_ev_per_fu=-5.76 magnetic_moment_mub_per_fu=1.2 pbc="T T T"
Tl 0.000 0.000 0.000
Bi 2.334 2.334 2.334
F 0.000 0.000 2.334
F 0.000 2.334 0.000
F 2.334 0.000 0.000

***

[4]
12
Lattice="-3.037 3.037 5.661 3.037 -3.037 5.661 3.037 3.037 -5.661" Properties=species:S:1:pos:R:3 comment="PBE Tl3BiF8, optimized geometry" spacegroup=I4/mmm raw_formation_energy_ev_per_fu=-23.39 magnetic_moment_mub_per_fu=0.0 pbc="T T T"
Tl 0.000 0.000 0.000
Tl 3.037 0.000 2.830
Tl 0.000 3.037 2.830
Bi 0.000 0.000 5.661
F 1.676 1.676 -1.456
F 1.361 -1.361 4.205
F 1.676 1.676 1.456
F 1.361 -1.361 7.116
F -1.361 1.361 4.205
F 1.361 1.361 4.205
F -1.361 1.361 7.116
F 1.361 1.361 7.116

***

[5]
11
Lattice="3.991 -4.398 0.000 3.991 4.398 0.000 0.000 0.000 6.316" Properties=species:S:1:pos:R:3 comment="PBE Tl2Bi2F7, optimized geometry" spacegroup=Cmmm raw_formation_energy_ev_per_fu=-22.36 magnetic_moment_mub_per_fu=0.0 pbc="T T T"
Tl 1.824 0.000 0.000
Tl 6.158 0.000 0.000
Bi 3.991 2.026 3.158
Bi 3.991 -2.026 3.158
F 0.000 0.000 3.158
F 1.996 2.199 1.822
F 1.996 2.199 4.494
F 1.996 -2.199 1.822
F 1.996 -2.199 4.494
F 3.991 0.000 1.834
F 3.991 0.000 4.482

***

[6]
10
Lattice="6.818 0.000 0.000 0.000 6.818 0.000 0.000 0.000 6.253" Properties=species:S:1:pos:R:3 comment="PBE Tl2Bi2F, optimized geometry" de_polymorph_mev_per_atom=0 spacegroup=P4/mbm raw_formation_energy_ev_per_fu=-2.64 magnetic_moment_mub_per_fu=0.0 pbc="T T T"
Tl 1.122 2.287 0.000
Tl 2.287 5.696 0.000
Tl 4.531 1.122 0.000
Tl 5.696 4.531 0.000
Bi 1.663 5.072 3.127
Bi 1.746 1.663 3.127
Bi 5.072 5.155 3.127
Bi 5.155 1.746 3.127
F 0.000 0.000 0.000
F 3.409 3.409 0.000

***

[7]
4
Lattice="3.402 0.000 0.000 0.000 3.402 0.000 0.000 0.000 9.170" Properties=species:S:1:pos:R:3 comment="PBE Tl2BiF, optimized geometry" de_polymorph_mev_per_atom=0 spacegroup=P4/mmm raw_formation_energy_ev_per_fu=-3.10 magnetic_moment_mub_per_fu=0.0 pbc="T T T"
Tl 0.000 0.000 1.694
Tl 0.000 0.000 7.476
Bi 1.701 1.701 4.585
F 1.701 1.701 0.000

***

[8]
28
Lattice="-3.965 5.141 5.484 3.965 -5.141 5.484 3.965 5.141 -5.484" Properties=species:S:1:pos:R:3 comment="PBE Tl2BiF11, optimized geometry" spacegroup=Ibam raw_formation_energy_ev_per_fu=-24.05 magnetic_moment_mub_per_fu=0.0 pbc="T T T"
Tl 1.097 1.880 0.000
Tl 5.062 3.262 0.000
Tl -1.097 1.880 5.484
Tl 2.867 3.262 5.484
Bi 3.965 0.000 2.742
Bi 0.000 5.141 2.742
F 0.000 0.000 0.000
F 4.696 1.732 -1.672
F 5.642 -0.630 1.537
F 4.696 -1.732 3.812
F 2.287 0.630 1.537
F 2.884 -3.004 5.484
F 2.884 3.004 0.000
F 2.287 -0.630 3.947
F 4.696 1.732 1.672
F 1.678 5.771 -1.537
F 0.731 3.409 1.672
F 0.000 0.000 5.484
F 3.234 1.732 3.812
F 2.287 -0.630 7.021
F -0.731 3.409 3.812
F 1.678 5.771 1.537
F 1.080 2.137 5.484
F 1.080 8.145 0.000
F 1.678 4.511 3.947
F -0.731 6.873 1.672
F -1.678 5.771 3.947
F -0.731 3.409 7.156

***

[9]
80
Lattice="-8.673 8.673 8.673 8.673 -8.673 8.673 8.673 8.673 -8.673" Properties=species:S:1:pos:R:3 comment="PBE Tl12Bi3F5, optimized geometry" spacegroup=Ia-3d raw_formation_energy_ev_per_fu=-15.23 magnetic_moment_mub_per_fu=0.0 pbc="T T T"
Tl 2.553 -0.539 0.941
Tl 10.457 5.278 -4.876
Tl 11.226 0.539 0.941
Tl 10.457 -3.395 4.876
Tl 8.134 -0.941 2.553
Tl 13.549 -1.784 3.395
Tl 0.941 2.553 -0.539
Tl 12.069 3.798 -1.784
Tl 5.278 4.876 -1.784
Tl 7.732 2.553 0.539
Tl -0.539 0.941 2.553
Tl 4.876 -1.784 5.278
Tl 8.134 7.732 -2.553
Tl 4.876 1.784 3.395
Tl 5.278 -4.876 10.457
Tl 7.732 -2.553 8.134
Tl 3.395 4.876 1.784
Tl 9.614 6.120 0.539
Tl 4.876 10.457 -3.395
Tl 8.134 0.941 6.120
Tl 2.553 8.134 -0.941
Tl 10.457 3.395 3.798
Tl 1.784 3.395 4.876
Tl 2.553 0.539 7.732
Tl 6.120 8.134 0.941
Tl 6.889 5.278 3.798
Tl -1.784 5.278 4.876
Tl 6.120 0.539 9.614
Tl 0.539 7.732 2.553
Tl 3.798 -1.784 12.069
Tl -0.941 2.553 8.134
Tl 5.278 3.798 6.889
Tl 0.941 11.226 0.539
Tl 3.395 13.549 -1.784
Tl 3.798 6.889 5.278
Tl 0.539 0.941 11.226
Tl 3.798 10.457 3.395
Tl 9.212 7.732 6.120
Tl 0.941 6.120 8.134
Tl 3.395 3.798 10.457
Tl -3.395 4.876 10.457
Tl 7.732 6.120 9.212
Tl -4.876 10.457 5.278
Tl 0.539 9.614 6.120
Tl -1.784 12.069 3.798
Tl -2.553 8.134 7.732
Tl -1.784 3.395 13.549
Tl 6.120 9.212 7.732
Bi 4.337 2.168 0.000
Bi 8.673 4.337 -2.168
Bi 2.168 0.000 4.337
Bi 10.841 0.000 4.337
Bi 0.000 4.337 2.168
Bi 4.337 -2.168 8.673
Bi 4.337 10.841 0.000
Bi 8.673 4.337 6.505
Bi -2.168 8.673 4.337
Bi 6.505 8.673 4.337
Bi 0.000 4.337 10.841
Bi 4.337 6.505 8.673
F 0.000 0.000 0.000
F 4.337 4.337 -4.337
F 4.337 -4.337 4.337
F 8.673 0.000 0.000
F 13.010 2.168 0.000
F 8.673 -4.337 6.505
F 6.505 8.673 -4.337
F 6.505 0.000 4.337
F 4.337 6.505 0.000
F 8.673 4.337 2.168
F -4.337 4.337 4.337
F 0.000 8.673 0.000
F 0.000 0.000 8.673
F 4.337 4.337 4.337
F 0.000 4.337 6.505
F 4.337 2.168 8.673
F 2.168 8.673 4.337
F 2.168 0.000 13.010
F 0.000 13.010 2.168
F -4.337 6.505 8.673

***

[10]
20
Lattice="6.650 0.000 0.000 0.000 6.986 0.000 -6.496 0.000 9.609" Properties=species:S:1:pos:R:3 comment="PBE Tl3BiF6, optimized geometry" de_polymorph_mev_per_atom=0 spacegroup=P2_1/c raw_formation_energy_ev_per_fu=-20.65 magnetic_moment_mub_per_fu=0.0 pbc="T T T"
Tl 0.000 0.000 0.000
Tl -3.248 3.493 4.804
Tl -3.291 0.289 7.182
Tl -0.042 3.204 2.378
Tl 0.196 3.782 7.231
Tl 3.445 6.698 2.427
Bi 0.077 0.000 4.804
Bi 3.325 3.493 0.000
F -1.851 1.145 4.321
F -5.099 2.349 9.126
F -0.964 5.052 4.150
F -4.212 5.427 8.954
F 0.833 0.376 2.666
F -2.415 3.117 7.471
F 2.569 3.869 2.138
F -0.679 6.611 6.942
F 4.366 1.559 0.654
F 1.118 1.934 5.459
F 5.253 4.638 0.483
F 2.005 5.842 5.288

***

[11]
12
Lattice="6.340 0.000 0.000 0.000 3.763 0.000 -0.919 0.000 8.620" Properties=species:S:1:pos:R:3 comment="PBE TlBiF4, optimized geometry" de_polymorph_mev_per_atom=0 spacegroup=P2_1/m raw_formation_energy_ev_per_fu=-13.48 magnetic_moment_mub_per_fu=0.0 pbc="T T T"
Tl 1.216 0.941 3.375
Tl 4.205 2.822 5.245
Bi 0.709 0.941 7.672
Bi 4.713 2.822 0.947
F 0.026 0.941 0.947
F -0.381 0.941 5.640
F 1.541 2.822 6.493
F 2.326 2.822 0.612
F 3.095 0.941 8.007
F 3.880 0.941 2.127
F 5.802 2.822 2.979
F 5.395 2.822 7.672

***

[12]
12
Lattice="-3.108 3.108 5.593 3.108 -3.108 5.593 3.108 3.108 -5.593" Properties=species:S:1:pos:R:3 comment="PBE TlBiF4, optimized geometry" de_polymorph_mev_per_atom=38 spacegroup=I4_1/amd raw_formation_energy_ev_per_fu=-13.25 magnetic_moment_mub_per_fu=0.0 pbc="T T T"
Tl 3.108 1.554 1.398
Tl 0.000 1.554 4.195
Bi 3.108 -1.554 4.195
Bi 0.000 4.661 1.398
F 1.243 0.000 0.000
F 4.972 0.000 0.000
F 1.554 2.797 -2.796
F 1.554 -0.311 2.796
F 1.243 3.108 0.000
F 1.865 0.000 5.593
F -1.554 3.418 2.796
F 1.554 3.418 2.796

***

[13]
18
Lattice="5.725 0.000 0.000 0.000 5.725 0.000 0.000 0.000 11.686" Properties=species:S:1:pos:R:3 comment="PBE Tl2BiF6, optimized geometry" spacegroup=P4_2/mnm raw_formation_energy_ev_per_fu=-18.21 magnetic_moment_mub_per_fu=0.0 pbc="T T T"
Tl 0.000 0.000 1.918
Tl 0.000 0.000 9.768
Tl 2.862 2.862 3.925
Tl 2.862 2.862 7.761
Bi 0.000 0.000 5.843
Bi 2.862 2.862 0.000
F 1.073 1.073 4.138
F 1.073 1.073 7.548
F 1.258 1.258 0.000
F 1.604 4.120 5.843
F 1.789 3.936 1.705
F 1.789 3.936 9.981
F 3.936 1.789 1.705
F 3.936 1.789 9.981
F 4.120 1.604 5.843
F 4.467 4.467 0.000
F 4.651 4.651 4.138
F 4.651 4.651 7.548

***

[14]
11
Lattice="5.582 -3.602 0.000 5.582 3.602 0.000 -0.015 0.000 4.541" Properties=species:S:1:pos:R:3 comment="PBE TlBi2F8, optimized geometry" de_polymorph_mev_per_atom=32 spacegroup=C2/m raw_formation_energy_ev_per_fu=-23.81 magnetic_moment_mub_per_fu=0.2 pbc="T T T"
Tl 0.000 0.000 0.000
Bi 3.577 0.000 2.269
Bi 7.572 0.000 2.272
F 3.995 2.243 2.284
F 3.013 0.000 4.534
F 7.153 2.243 2.257
F 5.575 0.000 1.125
F 5.574 0.000 3.416
F 3.995 -2.243 2.284
F 8.136 0.000 0.007
F 7.153 -2.243 2.257

***

[15]
29
Lattice="0.000 6.159 6.159 6.159 0.000 6.159 6.159 6.159 0.000" Properties=species:S:1:pos:R:3 comment="PBE Tl3Bi6F20, optimized geometry" spacegroup=Fm-3m raw_formation_energy_ev_per_fu=-64.00 magnetic_moment_mub_per_fu=0.0 pbc="T T T"
Tl 0.000 0.000 0.000
Tl 3.080 3.080 3.080
Tl 9.239 9.239 9.239
Bi 6.159 6.159 3.252
Bi 6.159 3.252 6.159
Bi 9.067 6.159 6.159
Bi 3.252 6.159 6.159
Bi 6.159 9.067 6.159
Bi 6.159 6.159 9.067
F 2.043 2.043 0.000
F 4.116 4.116 0.000
F 2.043 0.000 2.043
F 6.159 4.116 2.043
F 4.116 0.000 4.116
F 6.159 2.043 4.116
F 7.549 4.770 4.770
F 0.000 2.043 2.043
F 4.116 6.159 2.043
F 4.116 2.043 6.159
F 4.770 4.770 4.770
F 7.549 7.549 4.770
F 7.549 4.770 7.549
F 4.770 7.549 4.770
F 4.770 4.770 7.549
F 7.549 7.549 7.549
F 0.000 4.116 4.116
F 2.043 6.159 4.116
F 2.043 4.116 6.159
F 4.770 7.549 7.549